The following is a PBE calculation of an optimized crystal structure of LuAsCl, from the Alexandria database.

## Properties
electronic total energy = -14.1 eV per cell

Unit cell a=3.4272 b=4.6418 c=4.6418 alpha=120.00 beta=90.00 gamma=90.00
Sites, in units of the cell vectors:
Lu  0.1670  0.0000  0.0000
Cl  0.1665  0.3333  0.6667
As  0.6665  0.6667  0.3333